A plane-wave DFT calculation with PBE was carried out for Rb2BaGaMo after structural relaxation.

a b c (Å): 6.637 6.637 6.466
angles (deg): 90.00 90.00 90.00
Element x y z (fractional)
Rb: 0.000 0.500 0.000
Rb: 0.500 0.000 0.000
Ba: 0.000 0.000 0.500
Ga: 0.000 0.000 0.000
Mo: 0.500 0.500 0.500

Calculated values
- calculated formation energy (eV per formula unit) = 5.57
- calculated density (Mg/m³) = 2.8
- raw total energy (Ry/atom) = -0.1785
- M_tot (μB/f.u.) = 4.8
- space-group type = P4/mmm



A plane-wave DFT calculation with PBE was carried out for BaGa2ReMo after structural relaxation.

a b c (Å): 4.993 4.993 4.951
angles (deg): 90.00 90.00 90.00
Element x y z (fractional)
Ba: 0.000 0.000 0.000
Ga: 0.000 0.500 0.500
Ga: 0.500 0.000 0.500
Re: 0.500 0.500 0.500
Mo: 0.500 0.500 0.000

Calculated values
- calculated formation energy (eV per formula unit) = 1.77
- calculated density (Mg/m³) = 7.5
- raw total energy (Ry/atom) = -0.4334
- M_tot (μB/f.u.) = 1.8
- offset from the most stable computed form (eV/f.u.) = 0.000
- space-group type = P4/mmm



A plane-wave DFT calculation with PBE was carried out for BaGa2ReMo after structural relaxation.

a b c (Å): 4.970 4.970 5.599
angles (deg): 90.00 90.00 90.00
Element x y z (fractional)
Ba: 0.000 0.000 0.000
Ga: 0.000 0.500 0.500
Ga: 0.500 0.000 0.500
Re: 0.000 0.000 0.500
Mo: 0.500 0.500 0.000

Calculated values
- calculated formation energy (eV per formula unit) = 6.06
- calculated density (Mg/m³) = 6.7
- raw total energy (Ry/atom) = -0.3704
- M_tot (μB/f.u.) = 5.1
- offset from the most stable computed form (eV/f.u.) = 4.286
- space-group type = P4/mmm



A plane-wave DFT calculation with PBE was carried out for BaVGa2Mo after structural relaxation.

a b c (Å): 5.633 5.633 5.380
angles (deg): 90.00 90.00 90.00
Element x y z (fractional)
Ba: 0.000 0.000 0.000
V: 0.000 0.000 0.500
Ga: 0.000 0.500 0.000
Ga: 0.500 0.000 0.000
Mo: 0.500 0.500 0.500

Calculated values
- calculated formation energy (eV per formula unit) = 11.04
- calculated density (Mg/m³) = 4.1
- raw total energy (Ry/atom) = -0.2482
- M_tot (μB/f.u.) = 0.7
- space-group type = P4/mmm



A plane-wave DFT calculation with PBE was carried out for BaGaMoW2 after structural relaxation.

a b c (Å): 4.883 4.883 5.165
angles (deg): 90.00 90.00 90.00
Element x y z (fractional)
Ba: 0.000 0.000 0.000
Ga: 0.500 0.500 0.000
Mo: 0.500 0.500 0.500
W: 0.000 0.500 0.500
W: 0.500 0.000 0.500

Calculated values
- calculated formation energy (eV per formula unit) = 6.18
- calculated density (Mg/m³) = 9.0
- raw total energy (Ry/atom) = -0.5219
- M_tot (μB/f.u.) = 0.0
- space-group type = P4/mmm



A plane-wave DFT calculation with PBE was carried out for Ba4GaN after structural relaxation.

a b c (Å): 8.775 8.775 12.425
angles (deg): 122.89 122.89 38.44
Element x y z (fractional)
Ba: 0.004 0.004 0.201
Ba: 0.352 0.352 0.190
Ba: 0.356 0.356 0.849
Ba: 0.366 0.366 0.526
Ba: 0.634 0.634 0.474
Ba: 0.644 0.644 0.151
Ba: 0.648 0.648 0.810
Ba: 0.996 0.996 0.799
Ga: 0.090 0.090 0.599
Ga: 0.910 0.910 0.401
N: 0.476 0.476 0.780
N: 0.524 0.524 0.220

Calculated values
- calculated density (Mg/m³) = 4.3
- raw total energy (Ry/atom) = -0.2539
- M_tot (μB/f.u.) = 0.0
- space-group type = C2/m
- raw formation energy (kcal/mol of atoms) = -6.483



A plane-wave DFT calculation with PBE was carried out for Ba4Ga2N after structural relaxation.

a b c (Å): 8.540 8.540 7.172
angles (deg): 99.79 99.79 28.93
Element x y z (fractional)
Ba: 0.069 0.069 0.242
Ba: 0.355 0.355 0.157
Ba: 0.645 0.645 0.843
Ba: 0.931 0.931 0.758
Ga: 0.253 0.253 0.606
Ga: 0.747 0.747 0.394
N: 0.500 0.500 0.000

Calculated values
- calculated density (Mg/m³) = 4.7
- raw total energy (Ry/atom) = -0.2532
- M_tot (μB/f.u.) = 0.6
- offset from the most stable computed form (eV/f.u.) = 0.000
- space-group type = C2/m
- raw formation energy (kcal/mol of atoms) = -6.720



A plane-wave DFT calculation with PBE was carried out for Ba3Ga2N4 after structural relaxation.

a b c (Å): 6.285 10.643 10.196
angles (deg): 90.00 90.00 90.00
Element x y z (fractional)
Ba: 0.108 0.154 0.088
Ba: 0.108 0.346 0.412
Ba: 0.250 0.000 0.407
Ba: 0.250 0.500 0.093
Ba: 0.392 0.654 0.412
Ba: 0.392 0.846 0.088
Ba: 0.608 0.154 0.912
Ba: 0.608 0.346 0.588
Ba: 0.750 0.000 0.593
Ba: 0.750 0.500 0.907
Ba: 0.892 0.654 0.588
Ba: 0.892 0.846 0.912
Ga: 0.164 0.250 0.750
Ga: 0.250 0.000 0.731
Ga: 0.250 0.500 0.769
Ga: 0.336 0.750 0.750
Ga: 0.664 0.250 0.250
Ga: 0.750 0.000 0.269
Ga: 0.750 0.500 0.231
Ga: 0.836 0.750 0.250
N: 0.021 0.097 0.829
N: 0.021 0.403 0.671
N: 0.138 0.646 0.870
N: 0.138 0.854 0.630
N: 0.362 0.146 0.630
N: 0.362 0.354 0.870
N: 0.479 0.597 0.671
N: 0.479 0.903 0.829
N: 0.521 0.097 0.171
N: 0.521 0.403 0.329
N: 0.638 0.646 0.130
N: 0.638 0.854 0.370
N: 0.862 0.146 0.370
N: 0.862 0.354 0.130
N: 0.979 0.597 0.329
N: 0.979 0.903 0.171

Calculated values
- calculated density (Mg/m³) = 5.9
- raw total energy (Ry/atom) = -0.4050
- M_tot (μB/f.u.) = 0.0
- offset from the most stable computed form (eV/f.u.) = 0.000
- space-group type = Pnna
- raw formation energy (kcal/mol of atoms) = -11.445



A plane-wave DFT calculation with PBE was carried out for Ba12Ga6N after structural relaxation.

a b c (Å): 9.241 9.241 9.241
angles (deg): 93.41 93.41 93.41
Element x y z (fractional)
Ba: 0.041 0.710 0.930
Ba: 0.070 0.959 0.290
Ba: 0.183 0.549 0.415
Ba: 0.290 0.070 0.959
Ba: 0.415 0.183 0.549
Ba: 0.451 0.585 0.817
Ba: 0.549 0.415 0.183
Ba: 0.585 0.817 0.451
Ba: 0.710 0.930 0.041
Ba: 0.817 0.451 0.585
Ba: 0.930 0.041 0.710
Ba: 0.959 0.290 0.070
Ga: 0.154 0.355 0.743
Ga: 0.257 0.846 0.645
Ga: 0.355 0.743 0.154
Ga: 0.645 0.257 0.846
Ga: 0.743 0.154 0.355
Ga: 0.846 0.645 0.257
N: 0.000 0.000 0.000

Calculated values
- calculated density (Mg/m³) = 4.4
- raw total energy (Ry/atom) = -0.2074
- M_tot (μB/f.u.) = 0.0
- space-group type = R-3
- raw formation energy (kcal/mol of atoms) = -4.922



A plane-wave DFT calculation with PBE was carried out for Ba3Ga2N4 after structural relaxation.

a b c (Å): 7.619 7.619 6.036
angles (deg): 92.39 92.39 74.18
Element x y z (fractional)
Ba: 0.107 0.893 0.750
Ba: 0.238 0.505 0.424
Ba: 0.495 0.762 0.076
Ba: 0.505 0.238 0.924
Ba: 0.762 0.495 0.576
Ba: 0.893 0.107 0.250
Ga: 0.089 0.326 0.928
Ga: 0.326 0.089 0.428
Ga: 0.674 0.911 0.572
Ga: 0.911 0.674 0.072
N: 0.108 0.240 0.605
N: 0.173 0.558 0.974
N: 0.240 0.108 0.105
N: 0.442 0.827 0.526
N: 0.558 0.173 0.474
N: 0.760 0.892 0.895
N: 0.827 0.442 0.026
N: 0.892 0.760 0.395

Calculated values
- calculated density (Mg/m³) = 6.0
- raw total energy (Ry/atom) = -0.4000
- M_tot (μB/f.u.) = 0.0
- offset from the most stable computed form (eV/f.u.) = 0.612
- space-group type = C2/c
- raw formation energy (kcal/mol of atoms) = -9.877



A plane-wave DFT calculation with PBE was carried out for BaGa3N after structural relaxation.

a b c (Å): 6.328 6.328 6.328
angles (deg): 90.00 90.00 90.00
Element x y z (fractional)
Ba: 0.000 0.000 0.000
Ga: 0.000 0.000 0.500
Ga: 0.000 0.500 0.000
Ga: 0.500 0.000 0.000
N: 0.500 0.500 0.500

Calculated values
- calculated density (Mg/m³) = 2.4
- raw total energy (Ry/atom) = -0.1481
- M_tot (μB/f.u.) = 0.6
- offset from the most stable computed form (eV/f.u.) = 7.161
- space-group type = Pm-3m
- raw formation energy (kcal/mol of atoms) = 42.664



A plane-wave DFT calculation with PBE was carried out for Ba3GaN after structural relaxation.

a b c (Å): 5.589 5.589 5.589
angles (deg): 90.00 90.00 90.00
Element x y z (fractional)
Ba: 0.000 0.000 0.500
Ba: 0.000 0.500 0.000
Ba: 0.500 0.000 0.000
Ga: 0.500 0.500 0.500
N: 0.000 0.000 0.000

Calculated values
- calculated density (Mg/m³) = 4.7
- raw total energy (Ry/atom) = -0.2699
- M_tot (μB/f.u.) = 1.7
- offset from the most stable computed form (eV/f.u.) = 0.341
- space-group type = Pm-3m
- raw formation energy (kcal/mol of atoms) = -5.729



Q: Number 8 is which compound?
A: Ba3Ga2N4



Q: Which formula does entry 8 have?
A: Ba3Ga2N4